Density functional theory data (PBE-GGA) for a geometry-optimized TaSbO2 structure.

Unit cell a=6.1703 b=6.1703 c=8.7067 alpha=90.00 beta=90.00 gamma=90.00
Last column: nearest neighbours and their distance in Å.
Space group I4_1/amd (No. 141, origin choice 2)
Symmetry-distinct sites (fractional):
Ta  0.0000  0.2500  0.3750 (multiplicity 4)  4 O 1.89
Sb  0.0000  0.2500  0.8750 (multiplicity 4)  12 O 3.61-3.62, 4 Sb 3.78, 4 Ta 3.78
O  0.0000  0.0000  0.5000 (multiplicity 8)  2 Ta 1.89

## Properties
Size of the total moment (μB/atom): 0.000
Uncorrected energy (eV per atom): -7.907

=====

Density functional theory data (PBE-GGA) for a geometry-optimized TaSb3O8 structure.

Unit cell a=4.9574 b=5.5904 c=12.9340 alpha=90.00 beta=112.43 gamma=90.00
Last column: nearest neighbours and their distance in Å.
Space group Pc (No. 7)
Symmetry-distinct sites (fractional):
Ta  0.0000  0.1143  0.0000 (multiplicity 2)  6 O 1.93-2.07
Sb  0.2969  0.2650  0.7487 (multiplicity 2)  4 O 2.05-2.28
Sb  0.4933  0.3855  0.4972 (multiplicity 2)  6 O 1.97-2.07
Sb  0.7056  0.2298  0.2493 (multiplicity 2)  4 O 2.06-2.30
O  0.1575  0.1652  0.4394 (multiplicity 2)  1 Sb 1.97, 1 Ta 2.03
O  0.2274  0.3326  0.9425 (multiplicity 2)  1 Ta 1.99, 1 Sb 2.00
O  0.3162  0.0703  0.1507 (multiplicity 2)  1 Ta 2.00, 1 Sb 2.07
O  0.4918  0.4305  0.6531 (multiplicity 2)  2 Sb 2.03-2.06
O  0.5032  0.4079  0.3390 (multiplicity 2)  3 Sb 2.06-2.20
O  0.6775  0.0910  0.8414 (multiplicity 2)  2 Sb 2.05-2.19, 1 Ta 2.07
O  0.7766  0.1226  0.5505 (multiplicity 2)  1 Sb 1.97, 1 Ta 1.99
O  0.8210  0.3776  0.0467 (multiplicity 2)  1 Ta 1.93, 1 Sb 2.00

## Properties
Size of the total moment (μB/atom): 0.000
Uncorrected energy (eV per atom): -7.132

=====

Density functional theory data (PBE-GGA) for a geometry-optimized Ta2SbO structure.

Unit cell a=5.0806 b=5.0806 c=12.4797 alpha=90.00 beta=90.00 gamma=90.00
Last column: nearest neighbours and their distance in Å.
Space group I-42d (No. 122)
Symmetry-distinct sites (fractional):
Ta  0.1083  0.2500  0.1250 (multiplicity 8)  2 O 2.09
Sb  0.0000  0.0000  0.5000 (multiplicity 4)  4 Ta 2.83
O  0.0000  0.0000  0.0000 (multiplicity 4)  4 Ta 2.09

## Properties
Offset from the most stable computed form (meV per atom): 0.0
Size of the total moment (μB/atom): 0.000

=====

Density functional theory data (PBE-GGA) for a geometry-optimized TaSb2O8 structure.

Unit cell a=6.0067 b=9.2317 c=5.7484 alpha=90.00 beta=111.97 gamma=90.00
Last column: nearest neighbours and their distance in Å.
Space group Cm (No. 8)
Symmetry-distinct sites (fractional):
Ta  0.0000  0.0000  0.0000 (multiplicity 2)  5 O 1.89-2.09
Sb  0.3786  0.1621  0.6275 (multiplicity 4)  6 O 1.95-2.15
O  0.0667  0.2520  0.4493 (multiplicity 4)  2 Sb 1.95-1.96
O  0.1447  0.5000  0.7446 (multiplicity 2)  1 Ta 2.09, 2 Sb 2.11
O  0.2420  0.0000  0.7816 (multiplicity 2)  2 Sb 2.06, 1 Ta 2.25
O  0.2692  0.0000  0.3381 (multiplicity 2)  1 Ta 2.01, 2 Sb 2.15
O  0.3019  0.5000  0.1890 (multiplicity 2)  1 Ta 1.89
O  0.4925  0.2968  0.9100 (multiplicity 4)  1 Ta 1.94, 1 Sb 1.95

## Properties
Size of the total moment (μB/atom): 0.091
Uncorrected energy (eV per atom): -6.969

=====

Density functional theory data (PBE-GGA) for a geometry-optimized Ta2SbO structure.

Unit cell a=6.4139 b=6.4139 c=6.4139 alpha=90.00 beta=90.00 gamma=90.00
Last column: nearest neighbours and their distance in Å.
Space group Fm-3m (No. 225)
Symmetry-distinct sites (fractional):
Ta  0.2500  0.2500  0.2500 (multiplicity 8)  4 O 2.78, 4 Sb 2.78
Sb  0.0000  0.0000  0.0000 (multiplicity 4)  8 Ta 2.78
O  0.0000  0.0000  0.5000 (multiplicity 4)  8 Ta 2.78

## Properties
Offset from the most stable computed form (meV per atom): 421.3
Size of the total moment (μB/atom): 0.000

=====

Density functional theory data (PBE-GGA) for a geometry-optimized TaSbO2 structure.

Unit cell a=3.0422 b=3.0422 c=24.6466 alpha=90.00 beta=90.00 gamma=120.00
Last column: nearest neighbours and their distance in Å.
Space group R-3m (No. 166, hexagonal axes)
Symmetry-distinct sites (fractional):
Ta  0.0000  0.0000  0.0000 (multiplicity 3)  6 O 2.10
Sb  0.0000  0.0000  0.5000 (multiplicity 3)  2 O 2.95, 6 Sb 3.04
O  0.0000  0.0000  0.3801 (multiplicity 6)  3 Ta 2.10

## Properties
Size of the total moment (μB/atom): 0.000
Uncorrected energy (eV per atom): -8.008

=====

Density functional theory data (PBE-GGA) for a geometry-optimized TaSbO2 structure.

Unit cell a=3.0896 b=3.0896 c=22.2226 alpha=90.00 beta=90.00 gamma=120.00
Last column: nearest neighbours and their distance in Å.
Space group R-3m (No. 166, hexagonal axes)
Symmetry-distinct sites (fractional):
Ta  0.0000  0.0000  0.0000 (multiplicity 3)  2 O 1.92
Sb  0.0000  0.0000  0.5000 (multiplicity 3)  6 O 2.52
O  0.0000  0.0000  0.0863 (multiplicity 6)  1 Ta 1.92

## Properties
Size of the total moment (μB/atom): 0.000
Uncorrected energy (eV per atom): -7.355

=====

Density functional theory data (PBE-GGA) for a geometry-optimized TaSb2O structure.

Unit cell a=6.6747 b=6.6747 c=6.9455 alpha=90.00 beta=90.00 gamma=90.00
Last column: nearest neighbours and their distance in Å.
Space group I-42d (No. 122)
Symmetry-distinct sites (fractional):
Ta  0.0000  0.0000  0.0000 (multiplicity 4)  4 Sb 2.88
Sb  0.1737  0.2500  0.6250 (multiplicity 8)  2 O 2.21
O  0.0000  0.0000  0.5000 (multiplicity 4)  4 Sb 2.21

## Properties
Size of the total moment (μB/atom): 0.000
Uncorrected energy (eV per atom): -6.058

=====

Density functional theory data (PBE-GGA) for a geometry-optimized Ta6Sb4O19 structure.

Unit cell a=8.3889 b=8.4708 c=8.4903 alpha=109.76 beta=108.10 gamma=108.84
Last column: nearest neighbours and their distance in Å.
Space group P1 (No. 1)
Symmetry-distinct sites (fractional):
Ta  0.0000  0.0000  0.0000 (multiplicity 1)  4 O 1.88-2.04
Ta  0.0495  0.6953  0.6906 (multiplicity 1)  5 O 1.87-2.02
Ta  0.2029  0.3399  0.5189 (multiplicity 1)  4 O 1.90-2.07
Ta  0.3775  0.1896  0.8552 (multiplicity 1)  5 O 1.87-2.07
Ta  0.7032  0.4966  0.8386 (multiplicity 1)  5 O 1.88-2.05
Ta  0.8694  0.3651  0.1916 (multiplicity 1)  4 O 1.88-1.99
Sb  0.2979  0.9052  0.2771 (multiplicity 1)  2 O 2.02-2.20
Sb  0.3929  0.4935  0.2641 (multiplicity 1)  3 O 2.02-2.05
Sb  0.5286  0.7595  0.0343 (multiplicity 1)  2 O 2.07-2.21
Sb  0.7313  0.0487  0.4266 (multiplicity 1)  1 O 2.08
O  0.1703  0.8578  0.0089 (multiplicity 1)  1 Sb 2.02, 2 Ta 2.15-2.26
O  0.1754  0.1274  0.2847 (multiplicity 1)  2 Ta 2.04-2.07
O  0.1804  0.4645  0.3350 (multiplicity 1)  1 Sb 2.02, 2 Ta 2.16-2.22
O  0.1857  0.5475  0.6947 (multiplicity 1)  2 Ta 1.95-1.97
O  0.1910  0.1951  0.6484 (multiplicity 1)  2 Ta 1.90-1.98
O  0.2411  0.2358  0.0186 (multiplicity 1)  1 Sb 2.05, 2 Ta 2.07-2.26
O  0.2734  0.9249  0.7484 (multiplicity 1)  2 Ta 1.87-1.99
O  0.3393  0.6578  0.1503 (multiplicity 1)  3 Sb 2.03-2.21
O  0.4739  0.4723  0.6323 (multiplicity 1)  2 Ta 1.90-2.05
O  0.5355  0.5065  0.9880 (multiplicity 1)  1 Sb 2.07, 2 Ta 2.17-2.23
O  0.5466  0.2263  0.7418 (multiplicity 1)  2 Ta 1.94-1.95
O  0.6019  0.2483  0.0881 (multiplicity 1)  2 Ta 1.88-2.03
O  0.7999  0.7852  0.9840 (multiplicity 1)  2 Ta 1.97-2.05
O  0.8447  0.5106  0.7052 (multiplicity 1)  2 Ta 1.88-1.99
O  0.8740  0.1482  0.0101 (multiplicity 1)  2 Ta 1.88-1.98
O  0.8889  0.5033  0.0552 (multiplicity 1)  2 Ta 1.91-1.98
O  0.9018  0.2296  0.3628 (multiplicity 1)  1 Sb 2.08, 2 Ta 2.14
O  0.9298  0.5855  0.4257 (multiplicity 1)  2 Ta 1.87-1.99
O  0.9326  0.8686  0.7395 (multiplicity 1)  2 Ta 1.90-2.02

## Properties
Size of the total moment (μB/atom): 0.000
Uncorrected energy (eV per atom): -8.555

=====

Density functional theory data (PBE-GGA) for a geometry-optimized TaSbO3 structure.

Unit cell a=4.0956 b=4.0956 c=4.0956 alpha=90.00 beta=90.00 gamma=90.00
Last column: nearest neighbours and their distance in Å.
Space group Pm-3m (No. 221)
Symmetry-distinct sites (fractional):
Ta  0.0000  0.0000  0.0000 (multiplicity 1)  12 O 2.90
Sb  0.5000  0.5000  0.5000 (multiplicity 1)  6 O 2.05
O  0.0000  0.5000  0.5000 (multiplicity 3)  2 Sb 2.05

## Properties
Size of the total moment (μB/atom): 0.627
Uncorrected energy (eV per atom): -6.246